1.
# CsBi2F8 GGA-PBE relaxed
data_CsBi2F8
_cell_length_a 5.5362
_cell_length_b 5.5362
_cell_length_c 7.3378
_cell_angle_alpha 90.00
_cell_angle_beta 90.00
_cell_angle_gamma 90.00
_space_group_name_H-M_alt 'P 1'
_space_group_IT_number 1
_space_group_name_Hall 'P 1'
loop_
_atom_site_label
_atom_site_fract_x
_atom_site_fract_y
_atom_site_fract_z
_atom_site_occupancy
Cs1 0.0000 0.0000 0.0000 1
Bi1 0.0000 0.5000 0.5000 1
Bi2 0.5000 0.0000 0.5000 1
F1 0.2493 0.2493 0.3269 1
F2 0.2493 0.2493 0.6731 1
F3 0.2493 0.7507 0.3269 1
F4 0.2493 0.7507 0.6731 1
F5 0.7507 0.2493 0.3269 1
F6 0.7507 0.2493 0.6731 1
F7 0.7507 0.7507 0.3269 1
F8 0.7507 0.7507 0.6731 1
# Volume, Å³/atom: 20.45
# Density of states at the Fermi level, states/eV/f.u.: 6.79
# ΔE to the lowest computed polymorph, meV per atom: 54
# Formation energy (no corrections), kJ per mole of atoms: -225.1


2.
# Ba2Mg7 GGA-PBE relaxed
data_Ba2Mg7
_cell_length_a 15.8686
_cell_length_b 15.8686
_cell_length_c 15.8686
_cell_angle_alpha 23.50
_cell_angle_beta 23.50
_cell_angle_gamma 23.50
_space_group_name_H-M_alt 'P 1'
_space_group_IT_number 1
_space_group_name_Hall 'P 1'
loop_
_atom_site_label
_atom_site_fract_x
_atom_site_fract_y
_atom_site_fract_z
_atom_site_occupancy
Ba1 0.0526 0.0526 0.0526 1
Ba2 0.1512 0.1512 0.1512 1
Ba3 0.8488 0.8488 0.8488 1
Ba4 0.9474 0.9474 0.9474 1
Mg1 0.0000 0.5000 0.5000 1
Mg2 0.1084 0.6087 0.6087 1
Mg3 0.2795 0.2795 0.2795 1
Mg4 0.3874 0.3874 0.3874 1
Mg5 0.3913 0.3913 0.8916 1
Mg6 0.3913 0.8916 0.3913 1
Mg7 0.5000 0.0000 0.5000 1
Mg8 0.5000 0.5000 0.0000 1
Mg9 0.5000 0.5000 0.5000 1
Mg10 0.6087 0.1084 0.6087 1
Mg11 0.6087 0.6087 0.1084 1
Mg12 0.6126 0.6126 0.6126 1
Mg13 0.7205 0.7205 0.7205 1
Mg14 0.8916 0.3913 0.3913 1
# Volume, Å³/atom: 31.00
# Density of states at the Fermi level, states/eV/f.u.: 8.52


3.
# Ac2SmY7 GGA-PBE relaxed
data_Ac2SmY7
_cell_length_a 5.8542
_cell_length_b 8.4508
_cell_length_c 8.4538
_cell_angle_alpha 112.65
_cell_angle_beta 101.24
_cell_angle_gamma 101.42
_space_group_name_H-M_alt 'P 1'
_space_group_IT_number 1
_space_group_name_Hall 'P 1'
loop_
_atom_site_label
_atom_site_fract_x
_atom_site_fract_y
_atom_site_fract_z
_atom_site_occupancy
Ac1 0.0824 0.2201 0.2221 1
Ac2 0.9176 0.7799 0.7779 1
Sm1 0.0000 0.5000 0.0000 1
Y1 0.0000 0.0000 0.5000 1
Y2 0.3297 0.7313 0.4767 1
Y3 0.3340 0.4767 0.7317 1
Y4 0.4992 0.8716 0.1304 1
Y5 0.5008 0.1284 0.8696 1
Y6 0.6660 0.5233 0.2683 1
Y7 0.6703 0.2687 0.5233 1
# Volume, Å³/atom: 36.09
# Density of states at the Fermi level, states/eV/f.u.: 15.99


4.
# Ti2BeRu GGA-PBE relaxed
data_Ti2BeRu
_cell_length_a 3.0573
_cell_length_b 3.0573
_cell_length_c 5.8940
_cell_angle_alpha 90.00
_cell_angle_beta 90.00
_cell_angle_gamma 90.00
_space_group_name_H-M_alt 'P 1'
_space_group_IT_number 1
_space_group_name_Hall 'P 1'
loop_
_atom_site_label
_atom_site_fract_x
_atom_site_fract_y
_atom_site_fract_z
_atom_site_occupancy
Ti1 0.0000 0.0000 0.2399 1
Ti2 0.0000 0.0000 0.7601 1
Be1 0.5000 0.5000 0.0000 1
Ru1 0.5000 0.5000 0.5000 1
# Volume, Å³/atom: 13.77
# Density of states at the Fermi level, states/eV/f.u.: 1.50


5.
# KHgCl2 GGA-PBE relaxed
data_KHgCl2
_cell_length_a 8.9097
_cell_length_b 8.9097
_cell_length_c 8.9097
_cell_angle_alpha 137.84
_cell_angle_beta 137.84
_cell_angle_gamma 61.14
_space_group_name_H-M_alt 'P 1'
_space_group_IT_number 1
_space_group_name_Hall 'P 1'
loop_
_atom_site_label
_atom_site_fract_x
_atom_site_fract_y
_atom_site_fract_z
_atom_site_occupancy
K1 0.0000 0.0000 0.0000 1
K2 0.7500 0.2500 0.5000 1
Hg1 0.2500 0.7500 0.5000 1
Hg2 0.5000 0.5000 0.0000 1
Cl1 0.1648 0.6250 0.0398 1
Cl2 0.3750 0.4148 0.5398 1
Cl3 0.5852 0.1250 0.9602 1
Cl4 0.8750 0.8352 0.4602 1
# Volume, Å³/atom: 39.38
# Density of states at the Fermi level, states/eV/f.u.: 0.22
# ΔE to the lowest computed polymorph, meV per atom: 65
# Formation energy (no corrections), kJ per mole of atoms: -98.8


6.
# In2AgS GGA-PBE relaxed
data_In2AgS
_cell_length_a 9.2823
_cell_length_b 9.2823
_cell_length_c 9.2823
_cell_angle_alpha 22.54
_cell_angle_beta 22.54
_cell_angle_gamma 22.54
_space_group_name_H-M_alt 'P 1'
_space_group_IT_number 1
_space_group_name_Hall 'P 1'
loop_
_atom_site_label
_atom_site_fract_x
_atom_site_fract_y
_atom_site_fract_z
_atom_site_occupancy
In1 0.0996 0.0996 0.0996 1
In2 0.9004 0.9004 0.9004 1
Ag1 0.0000 0.0000 0.0000 1
S1 0.5000 0.5000 0.5000 1
# Volume, Å³/atom: 25.77
# Density of states at the Fermi level, states/eV/f.u.: 1.41
# Formation energy (no corrections), kJ per mole of atoms: -1.2


no.,ρ (Mg/m³),total energy (eV per cell),magnetization (Bohr magnetons per cell)
1,5.19,-49.3,0.0
2,2.65,-31.2,0.0
3,5.64,-56.2,0.0
4,6.20,-30.6,0.0
5,3.27,-18.4,0.0
6,5.95,-12.5,0.0